Record 1
VASP calculation (meta-GGA SCAN) on Nd2GaCo2 at its PBEsol-relaxed geometry.

The space group is Immm (No. 71) and the conventional cell measures 4.044, 5.398 and 8.579 Å, with angles of 90.00, 90.00 and 90.00 degrees. Symmetry generates all atoms from Nd at (0.000, 0.000, 0.205), Ga at (0.000, 0.500, 0.000) and Co at (0.000, 0.284, 0.500).

Its theoretical density is 8.4 g/cm3. For the total moment, the calculation gives 1.2 μB per formula unit. The total energy is -278.44 eV/cell. The value obtained for the formation enthalpy at 0 K is -1.10 eV/f.u.


Record 2
VASP calculation (meta-GGA SCAN) on LiCd2Pb at its PBEsol-relaxed geometry.

The space group is Cm (No. 8) and the conventional cell measures 9.630, 3.401 and 5.541 Å, with angles of 90.00, 101.24 and 90.00 degrees. Symmetry generates all atoms from Li at (0.000, 0.000, 0.000), Cd at (0.008, 0.500, 0.543), Cd at (0.255, 0.000, 0.760) and Pb at (0.252, 0.500, 0.240).

Its theoretical density is 8.2 g/cm3. For the total moment, the calculation gives 0.0 μB per formula unit. The total energy is -279.03 eV/cell. The value obtained for the formation enthalpy at 0 K is -0.52 eV/f.u.


Record 3
VASP calculation (meta-GGA SCAN) on CsSnCl2 at its PBEsol-relaxed geometry.

The space group is R-3m (No. 166, hexagonal axes) and the conventional cell measures 4.7342, 4.7342 and 25.8858 Å, with angles of 90.00, 90.00 and 120.00 degrees. Symmetry generates all atoms from Cs at (0.0000, 0.0000, 0.0000), Sn at (0.0000, 0.0000, 0.5000) and Cl at (0.0000, 0.0000, 0.1228).

Its theoretical density is 3.2 g/cm3. For the total moment, the calculation gives 0.0 μB per formula unit. The calculation puts the raw formation energy at -0.86 eV per atom. The total energy is -279.38 eV/cell.


Record 4
VASP calculation (meta-GGA SCAN) on MnH3F at its PBEsol-relaxed geometry.

The space group is Pm-3m (No. 221) and the conventional cell measures 3.308, 3.308 and 3.308 Å, with angles of 90.00, 90.00 and 90.00 degrees. Symmetry generates all atoms from Mn at (0.000, 0.000, 0.000), H at (0.000, 0.000, 0.500) and F at (0.500, 0.500, 0.500).

Its theoretical density is 3.5 g/cm3. For the total moment, the calculation gives 3.0 μB per formula unit. The total energy is -32.59 eV/cell.